1.
The following is a PBE calculation of Hf3TaSn after structural relaxation, from Alexandria.

Properties
Total moment in μB per cell: 0.62
Energy above the most stable polymorph in this dataset in kJ/mol of formula units: 687
Crystal system: cubic
ΔH_f (0 K) in eV/atom: 1.423
Electronic total energy in eV per cell: -38.6

abc: 5.1384 5.1384 5.1384
angles: 90.00 90.00 90.00
Closest atoms and distances in Å follow each position.
Fractional positions:
Sn (0.0000, 0.0000, 0.0000)  6 Hf 2.57
Hf (0.5000, 0.0000, 0.0000)  2 Sn 2.57
Hf (0.0000, 0.0000, 0.5000)  2 Sn 2.57
Hf (0.0000, 0.5000, 0.0000)  2 Sn 2.57
Ta (0.5000, 0.5000, 0.5000)  12 Hf 3.63



2.
The following is a PBE calculation of CaScB after structural relaxation, from Alexandria.

Properties
Total moment in μB per cell: 0.00
Energy above the most stable polymorph in this dataset in kJ/mol of formula units: 71
Crystal system: orthorhombic
ΔH_f (0 K) in eV/atom: 0.011
Electronic total energy in eV per cell: -59.9

abc: 7.3331 4.4525 6.9960
angles: 90.00 90.00 90.00
Closest atoms and distances in Å follow each position.
Fractional positions:
B (0.1862, 0.7500, 0.5921)  4 Sc 2.44-2.61, 1 Ca 2.71
Ca (0.0407, 0.2500, 0.8301)  3 B 2.71-2.98
B (0.3138, 0.2500, 0.0921)  4 Sc 2.44-2.61, 1 Ca 2.71
Sc (0.3537, 0.7500, 0.9032)  4 B 2.44-2.61
Sc (0.6463, 0.2500, 0.0968)  4 B 2.44-2.61
Ca (0.5407, 0.2500, 0.6699)  3 B 2.71-2.98
Sc (0.8537, 0.7500, 0.5968)  4 B 2.44-2.61
Ca (0.9593, 0.7500, 0.1699)  3 B 2.71-2.98
B (0.8138, 0.2500, 0.4079)  4 Sc 2.44-2.61, 1 Ca 2.71
Ca (0.4593, 0.7500, 0.3301)  3 B 2.71-2.98
B (0.6862, 0.7500, 0.9079)  4 Sc 2.44-2.61, 1 Ca 2.71
Sc (0.1463, 0.2500, 0.4032)  4 B 2.44-2.61



3.
The following is a PBE calculation of SmPaCl6 after structural relaxation, from Alexandria.

Properties
Total moment in μB per cell: 2.01
Crystal system: trigonal
Electronic total energy in eV per cell: -40.7

abc: 6.9665 6.9665 7.5190
angles: 62.40 62.40 60.00
Closest atoms and distances in Å follow each position.
Fractional positions:
Cl (0.8911, 0.6056, 0.2517)  1 Sm 2.73, 1 Pa 2.76
Sm (0.5000, 0.5000, 0.5000)  6 Cl 2.73
Cl (0.1089, 0.3944, 0.7483)  1 Sm 2.73, 1 Pa 2.76
Pa (0.0000, 0.0000, 0.0000)  6 Cl 2.76-2.77
Cl (0.3945, 0.7483, 0.7484)  1 Sm 2.73, 1 Pa 2.77
Cl (0.7483, 0.1089, 0.7483)  1 Sm 2.73, 1 Pa 2.76
Cl (0.6055, 0.2517, 0.2516)  1 Sm 2.73, 1 Pa 2.77
Cl (0.2517, 0.8911, 0.2517)  1 Sm 2.73, 1 Pa 2.76



4.
The following is a PBE calculation of SrSbCl after structural relaxation, from Alexandria.

Properties
Total moment in μB per cell: 1.79
Energy above the most stable polymorph in this dataset in kJ/mol of formula units: 261
Crystal system: cubic
Electronic total energy in eV per cell: -9.6

abc: 5.2604 5.2604 5.2604
angles: 60.00 60.00 60.00
Closest atoms and distances in Å follow each position.
Fractional positions:
Cl (0.7500, 0.7500, 0.7500)  4 Sr 3.22, 4 Sb 3.22
Sr (0.5000, 0.5000, 0.5000)  4 Cl 3.22
Sb (0.0000, 0.0000, 0.0000)  4 Cl 3.22



5.
The following is a PBE calculation of Ac2MnGePt6 after structural relaxation, from Alexandria.

Properties
Total moment in μB per cell: 4.02
Crystal system: trigonal
ΔH_f (0 K) in eV/atom: -0.690
Electronic total energy in eV per cell: -65.2

abc: 5.8450 8.2698 8.2695
angles: 41.39 69.29 89.99
Closest atoms and distances in Å follow each position.
Fractional positions:
Pt (0.2321, 0.2491, 0.0175)  1 Ge 2.48, 1 Mn 2.59
Pt (0.7679, 0.7509, 0.9825)  1 Ge 2.48, 1 Mn 2.59
Ac (0.2900, 0.7095, 0.4198)  9 Pt 3.10-3.46
Pt (0.2499, 0.2330, 0.5007)  1 Ge 2.48, 1 Mn 2.59
Ge (0.5000, 0.5000, 0.0000)  6 Pt 2.48
Mn (0.0000, 0.0000, 0.0000)  6 Pt 2.59
Pt (0.7501, 0.2491, 0.0174)  1 Ge 2.48, 1 Mn 2.59
Pt (0.7501, 0.7670, 0.4993)  1 Ge 2.48, 1 Mn 2.59
Pt (0.2499, 0.7510, 0.9826)  1 Ge 2.48, 1 Mn 2.59
Ac (0.7100, 0.2905, 0.5802)  9 Pt 3.10-3.46



6.
The following is a PBE calculation of BaCdRe2 after structural relaxation, from Alexandria.

Properties
Total moment in μB per cell: 0.00
Crystal system: trigonal
ΔH_f (0 K) in eV/atom: 1.302
Electronic total energy in eV per cell: -22.5

abc: 10.9722 10.9722 10.9722
angles: 15.46 15.46 15.46
Closest atoms and distances in Å follow each position.
Fractional positions:
Re (0.0099, 0.0099, 0.0099)  3 Cd 2.93, 6 Re 2.95
Ba (0.2500, 0.2500, 0.2500)  6 Ba 2.95
Cd (0.7500, 0.7500, 0.7500)  6 Re 2.93, 6 Cd 2.95
Re (0.4901, 0.4901, 0.4901)  3 Cd 2.93, 6 Re 2.95